Material: Pm2VGe
Method: DFT, PBE
State: relaxed

Calculated values
**E_form**: -0.07 eV/atom
**DFT total energy**: -23.5 eV per formula unit
**E above lowest polymorph**: 0.050 eV/atom

POSCAR file:
```
Pm2VGe
1.0
-0.734 -4.532 -2.370
3.866 -3.415 -0.300
-0.185 -4.361 2.765
Pm V Ge
2 1 1
Cartesian
2.210 -9.231 0.071
0.737 -3.077 0.024
0.000 0.000 0.000
1.474 -6.154 0.047
```

***

Material: YTlSn2Cl8
Method: DFT, PBE
State: relaxed

Calculated values
**DFT total energy**: -48.7 eV per formula unit

POSCAR file:
```
YTlSn2Cl8
1.0
-2.801 -3.627 -5.149
2.077 -5.585 2.521
-7.778 -1.218 4.368
Cl Y Sn Tl
8 1 2 1
Cartesian
-4.954 -5.642 4.604
-0.624 -6.786 -1.464
-3.547 -4.788 -2.865
-4.649 -3.541 1.182
-3.853 -6.889 0.557
-0.496 -5.271 1.972
-8.005 -5.160 -0.233
-7.878 -3.645 3.204
0.000 0.000 0.000
-6.170 -5.430 2.024
-2.331 -5.000 -0.284
-3.889 -0.609 2.184
```

***

Material: CrSiAg4
Method: DFT, PBE
State: relaxed

Calculated values
**DFT total energy**: -23.4 eV per formula unit

POSCAR file:
```
CrSiAg4
1.0
-4.627 -1.055 2.636
-4.645 -0.498 -2.764
-2.356 -4.866 -0.494
Ag Cr Si
4 1 1
Cartesian
-6.682 -2.657 -1.614
-5.539 -4.838 -0.480
-6.673 -2.935 1.083
-4.362 -2.408 -0.233
-8.721 -4.814 -0.467
0.000 0.000 0.000
```

***

Material: AlCrAg2
Method: DFT, PBE
State: relaxed

Calculated values
**E_form**: 0.37 eV/atom
**DFT total energy**: -17.6 eV per formula unit

POSCAR file:
```
AlCrAg2
1.0
2.883 -0.209 0.000
-1.109 2.669 0.000
0.000 0.000 9.281
Ag Al Cr
2 1 1
Cartesian
0.000 0.000 4.595
0.000 0.000 0.046
0.887 1.230 2.320
0.887 1.230 6.961
```

***

Material: RuC
Method: DFT, PBE
State: relaxed

Calculated values
**E_form**: 1.07 eV/atom
**DFT total energy**: -16.4 eV per formula unit
**E above lowest polymorph**: 0.705 eV/atom

POSCAR file:
```
RuC
1.0
-6.081 -3.245 -2.664
-4.723 -5.682 0.092
4.326 5.373 2.650
Ru C
2 2
Cartesian
-2.520 -2.073 0.818
-5.781 -4.777 -1.376
-3.596 -1.182 -0.654
-10.786 -8.913 -2.567
```

***

Material: Rb2NiAg2Cl6
Method: DFT, PBE
State: relaxed

Calculated values
**DFT total energy**: -35.6 eV per formula unit

POSCAR file:
```
Rb2NiAg2Cl6
1.0
7.872 -0.055 0.602
-3.938 6.817 0.602
-0.972 -1.671 6.601
Ag Cl Rb Ni
2 6 2 1
Cartesian
6.579 0.698 0.602
-2.645 6.064 0.602
-1.633 0.709 4.865
4.595 4.382 2.940
2.368 4.070 5.583
1.423 -1.069 4.865
0.594 1.021 2.222
1.539 6.160 2.940
-0.447 3.667 3.902
3.409 1.424 3.902
-0.486 -0.835 3.300
```